Computed, not measured: an optimized crystal structure of Na5V3F12 at the PBE+U level of DFT.

Cell and atoms, written as POSCAR:
```
Na5V3F12
1.0
9.6390 0.0000 0.0000
-4.8195 8.3476 0.0000
0.0000 0.0000 3.2525
Na V F
5 3 12
Direct
0.0000 0.2974 0.0000
0.2974 0.0000 0.0000
0.3333 0.6667 0.0000
0.6667 0.3333 0.0000
0.7026 0.7026 0.0000
0.0000 0.6707 0.5000
0.3293 0.3293 0.5000
0.6707 0.0000 0.5000
0.0000 0.5365 0.0000
0.0000 0.8077 0.0000
0.1923 0.1923 0.0000
0.2018 0.4459 0.5000
0.2440 0.7982 0.5000
0.4459 0.2018 0.5000
0.4635 0.4635 0.0000
0.5365 0.0000 0.0000
0.5541 0.7560 0.5000
0.7560 0.5541 0.5000
0.7982 0.2440 0.5000
0.8077 0.0000 0.0000
```

## Properties
Total energy   -106.7 eV per formula unit
Calculated volume   262 Å³ per cell